Here is a relaxed Tb3CdHg2 crystal from the Alexandria database. Energies are from PBE-GGA.

Cell lengths 5.2834, 5.2834, 12.9998 Å; angles 90.00, 90.00, 120.00 degrees
Closest atoms and distances in Å follow each position.
Sites, in units of the cell vectors:
Tb 0.0000 0.0000 0.2480  5 Hg 3.20-3.28, 3 Cd 3.24
Tb 0.3333 0.6667 0.9192  7 Hg 3.23-3.29, 1 Cd 3.26
Tb 0.6667 0.3333 0.0808  7 Hg 3.23-3.29, 1 Cd 3.26
Tb 0.3333 0.6667 0.4177  4 Hg 3.19-3.23, 4 Cd 3.25-3.26
Tb 0.0000 0.0000 0.7520  5 Hg 3.20-3.28, 3 Cd 3.24
Tb 0.6667 0.3333 0.5823  4 Hg 3.19-3.23, 4 Cd 3.25-3.26
Hg 0.0000 0.0000 0.0000  8 Tb 3.22-3.23
Hg 0.0000 0.0000 0.5000  8 Tb 3.23-3.28
Hg 0.6667 0.3333 0.8274  8 Tb 3.19-3.29
Hg 0.3333 0.6667 0.1726  8 Tb 3.19-3.29
Cd 0.3333 0.6667 0.6683  8 Tb 3.24-3.26
Cd 0.6667 0.3333 0.3317  8 Tb 3.24-3.26

Output
Its space group is P-3m1. Its crystal system is trigonal. The value obtained for the formation enthalpy at 0 K is -0.4243 eV/atom.

***

Here is a relaxed Sc2Zn6Cd crystal from the Alexandria database. Energies are from PBE-GGA.

Cell lengths 3.0621, 7.7050, 7.7050 Å; angles 120.00, 90.00, 90.00 degrees
Closest atoms and distances in Å follow each position.
Sites, in units of the cell vectors:
Cd 0.0000 0.0000 0.0000  12 Zn 3.00, 2 Cd 3.06
Zn 0.5000 0.6654 0.6654  3 Zn 2.55-2.58
Zn 0.5000 0.6654 0.0000  3 Zn 2.55-2.58
Zn 0.5000 0.3346 0.0000  3 Zn 2.55-2.58
Zn 0.5000 0.0000 0.3346  3 Zn 2.55-2.58
Zn 0.5000 0.3346 0.3346  3 Zn 2.55-2.58
Zn 0.5000 0.0000 0.6654  3 Zn 2.55-2.58
Sc 0.0000 0.6667 0.3333  12 Zn 2.99, 2 Sc 3.06
Sc 0.0000 0.3333 0.6667  12 Zn 2.99, 2 Sc 3.06

Output
Its space group is P6/mmm. Its crystal system is hexagonal. The value obtained for the formation enthalpy at 0 K is -0.2252 eV/atom.

***

Here is a relaxed Tb3SnPb3 crystal from the Alexandria database. Energies are from PBE-GGA.

Cell lengths 5.7370, 8.9818, 8.9818 Å; angles 120.00, 90.00, 90.00 degrees
Closest atoms and distances in Å follow each position.
Sites, in units of the cell vectors:
Tb 0.2500 0.0910 0.6402  5 Pb 3.21-3.48, 3 Sn 3.41-3.54, 2 Tb 3.58
Tb 0.2500 0.5492 0.9090  5 Pb 3.21-3.48, 3 Sn 3.41-3.54, 2 Tb 3.58
Tb 0.2500 0.3598 0.4508  5 Pb 3.21-3.48, 3 Sn 3.41-3.54, 2 Tb 3.58
Tb 0.7500 0.6402 0.5492  5 Pb 3.21-3.48, 3 Sn 3.41-3.54, 2 Tb 3.58
Tb 0.7500 0.4508 0.0910  5 Pb 3.21-3.48, 3 Sn 3.41-3.54, 2 Tb 3.58
Tb 0.7500 0.9090 0.3598  5 Pb 3.21-3.48, 3 Sn 3.41-3.54, 2 Tb 3.58
Sn 0.7500 0.3333 0.6667  3 Pb 3.28, 9 Tb 3.41-3.54
Sn 0.2500 0.6667 0.3333  3 Pb 3.28, 9 Tb 3.41-3.54
Pb 0.7500 0.7466 0.9476  5 Tb 3.21-3.48, 1 Sn 3.28, 4 Pb 3.54
Pb 0.2500 0.7990 0.7466  5 Tb 3.21-3.48, 1 Sn 3.28, 4 Pb 3.54
Pb 0.7500 0.2010 0.2534  5 Tb 3.21-3.48, 1 Sn 3.28, 4 Pb 3.54
Pb 0.2500 0.9476 0.2010  5 Tb 3.21-3.48, 1 Sn 3.28, 4 Pb 3.54
Pb 0.7500 0.0524 0.7990  5 Tb 3.21-3.48, 1 Sn 3.28, 4 Pb 3.54
Pb 0.2500 0.2534 0.0524  5 Tb 3.21-3.48, 1 Sn 3.28, 4 Pb 3.54

Output
Its space group is P6_3/m. Its crystal system is hexagonal. The value obtained for the formation enthalpy at 0 K is -0.3385 eV/atom.

***

Here is a relaxed Cd4In2Hg9 crystal from the Alexandria database. Energies are from PBE-GGA.

Cell lengths 3.8062, 3.8058, 31.6919 Å; angles 90.05, 89.93, 119.98 degrees
Closest atoms and distances in Å follow each position.
Sites, in units of the cell vectors:
Hg 0.3334 0.6666 0.5676  3 Cd 3.02, 3 Hg 3.07
Hg 0.0001 0.0000 0.3021  3 Cd 3.01, 3 In 3.10
Hg 0.9994 0.0002 0.1645  3 Cd 3.01, 3 In 3.09-3.10
Hg 0.9999 0.0000 0.6979  3 Cd 3.01, 3 In 3.10
Hg 0.3330 0.6668 0.9659  3 Cd 3.02-3.03, 3 Hg 3.08-3.09
Hg 0.0006 0.9998 0.8355  3 Cd 3.01, 3 In 3.09-3.10
Hg 0.6666 0.3334 0.4324  3 Cd 3.02, 3 Hg 3.07
Hg 0.6670 0.3332 0.0341  3 Cd 3.02-3.03, 3 Hg 3.08-3.09
Hg 0.0000 0.0000 0.5000  6 Hg 3.07
Cd 0.3334 0.6667 0.3669  6 Hg 3.01-3.02
Cd 0.6666 0.3333 0.6331  6 Hg 3.01-3.02
Cd 0.6668 0.3333 0.9003  6 Hg 3.01-3.03
Cd 0.3332 0.6667 0.0997  6 Hg 3.01-3.03
In 0.6670 0.3332 0.2331  6 Hg 3.09-3.10
In 0.3330 0.6668 0.7669  6 Hg 3.09-3.10

Output
Its space group is C2/m. Its crystal system is monoclinic. The value obtained for the formation enthalpy at 0 K is 0.0242 eV/atom.

***

Here is a relaxed BaP3H12 crystal from the Alexandria database. Energies are from PBE-GGA.

Cell lengths 8.6932, 8.6932, 9.4361 Å; angles 62.57, 62.57, 60.00 degrees
Closest atoms and distances in Å follow each position.
Sites, in units of the cell vectors:
H 0.0233 0.6097 0.0224  1 P 1.43
H 0.1550 0.4008 0.8567  1 H 0.75
H 0.2363 0.4013 0.3320  1 P 1.43
H 0.9008 0.6550 0.3567  1 H 0.75
H 0.0304 0.2363 0.3320  1 P 1.43
H 0.2519 0.3460 0.8126  1 H 0.75
H 0.5876 0.1550 0.8567  1 H 0.75
H 0.1097 0.5233 0.5224  1 P 1.43
H 0.8460 0.7519 0.3126  1 H 0.75
H 0.7519 0.0895 0.3126  1 H 0.75
H 0.0876 0.9008 0.3567  1 H 0.75
H 0.4013 0.0304 0.3320  1 P 1.43
H 0.3445 0.0233 0.0224  1 P 1.43
H 0.6550 0.0876 0.3567  1 H 0.75
H 0.0895 0.8460 0.3126  1 H 0.75
H 0.5233 0.8445 0.5224  1 P 1.43
H 0.4008 0.5876 0.8567  1 H 0.75
H 0.5895 0.2519 0.8126  1 H 0.75
H 0.8445 0.1097 0.5224  1 P 1.43
H 0.5304 0.9013 0.8320  1 P 1.43
H 0.9013 0.7363 0.8320  1 P 1.43
H 0.6097 0.3445 0.0224  1 P 1.43
H 0.7363 0.5304 0.8320  1 P 1.43
H 0.3460 0.5895 0.8126  1 H 0.75
Ba 0.5698 0.5698 0.2905  6 P 3.28-3.29, 12 H 3.59-3.67
Ba 0.0698 0.0698 0.7905  6 P 3.28-3.29, 12 H 3.59-3.67
P 0.7667 0.3872 0.9836  2 H 1.43
P 0.3625 0.8872 0.4836  2 H 1.43
P 0.3872 0.8625 0.9836  2 H 1.43
P 0.8872 0.2667 0.4836  2 H 1.43
P 0.8625 0.7667 0.9836  2 H 1.43
P 0.2667 0.3625 0.4836  2 H 1.43

Output
Its space group is R3c. Its electronic total energy is -0.1370 Ha/atom. Its crystal system is trigonal.

***

Here is a relaxed HgMo2 crystal from the Alexandria database. Energies are from PBE-GGA.

Cell lengths 5.3308, 5.3308, 8.8039 Å; angles 90.00, 90.00, 60.00 degrees
Closest atoms and distances in Å follow each position.
Sites, in units of the cell vectors:
Mo 0.8320 0.8320 0.7500  6 Mo 2.64-2.69
Mo 0.0000 0.0000 0.5000  6 Mo 2.69
Mo 0.1680 0.1680 0.2500  6 Mo 2.64-2.69
Mo 0.8320 0.3360 0.7500  6 Mo 2.64-2.69
Mo 0.1680 0.6640 0.2500  6 Mo 2.64-2.69
Mo 0.0000 0.0000 0.0000  6 Mo 2.69
Mo 0.6640 0.1680 0.2500  6 Mo 2.64-2.69
Mo 0.3360 0.8320 0.7500  6 Mo 2.64-2.69
Hg 0.3333 0.3333 0.5646  12 Mo 3.13-3.16, 4 Hg 3.26-3.28
Hg 0.6667 0.6667 0.0646  12 Mo 3.13-3.16, 4 Hg 3.26-3.28
Hg 0.6667 0.6667 0.4354  12 Mo 3.13-3.16, 4 Hg 3.26-3.28
Hg 0.3333 0.3333 0.9354  12 Mo 3.13-3.16, 4 Hg 3.26-3.28

Output
Its space group is P6_3/mmc. Its polymorph energy (0 for the lowest one) is 215 meV/atom. Its crystal system is hexagonal. The value obtained for the formation enthalpy at 0 K is 0.6192 eV/atom.